Computed, not measured: an optimized crystal structure of LuBi at the PBE level of DFT.

Results
* energy of formation: -0.727 eV/atom
* V: 60.5 Å³/f.u.
* density of states at the Fermi level: 0.45 states/eV/f.u.
* SG: Fm-3m (225)
* final energy: -4.9281 eV per atom

abc: 6.2326 6.2326 6.2326
angles: 90.00 90.00 90.00
Last column: nearest neighbours and their distance in Å.
Fractional coordinates of all 8 atoms:
Lu (0.0000, 0.0000, 0.0000)  6 Bi 3.12
Lu (0.0000, 0.5000, 0.5000)  6 Bi 3.12
Lu (0.5000, 0.0000, 0.5000)  6 Bi 3.12
Lu (0.5000, 0.5000, 0.0000)  6 Bi 3.12
Bi (0.0000, 0.0000, 0.5000)  6 Lu 3.12
Bi (0.0000, 0.5000, 0.0000)  6 Lu 3.12
Bi (0.5000, 0.0000, 0.0000)  6 Lu 3.12
Bi (0.5000, 0.5000, 0.5000)  6 Lu 3.12

Computed, not measured: an optimized crystal structure of ZnAg2Os at the PBE level of DFT.

Results
* energy of formation: 0.469 eV/atom
* V: 64.2 Å³/f.u.
* density of states at the Fermi level: 1.80 states/eV/f.u.
* SG: Imm2 (44)
* final energy: -4.0829 eV per atom

abc: 2.7445 4.8778 9.5940
angles: 90.00 90.00 90.00
Last column: nearest neighbours and their distance in Å.
Fractional coordinates of all 8 atoms:
Zn (0.0000, 0.0000, 0.0000)  2 Os 2.60, 6 Ag 2.71-2.80, 2 Zn 2.74
Zn (0.5000, 0.5000, 0.5000)  2 Os 2.60, 6 Ag 2.71-2.80, 2 Zn 2.74
Ag (0.0000, 0.0000, 0.5082)  4 Ag 2.74-2.88, 4 Zn 2.80, 2 Os 2.86
Ag (0.0000, 0.5000, 0.7440)  2 Zn 2.71, 4 Ag 2.74-2.88, 4 Os 2.81
Ag (0.5000, 0.0000, 0.2440)  2 Zn 2.71, 4 Ag 2.74-2.88, 4 Os 2.81
Ag (0.5000, 0.5000, 0.0082)  4 Ag 2.74-2.88, 4 Zn 2.80, 2 Os 2.86
Os (0.0000, 0.5000, 0.2694)  2 Zn 2.60, 2 Os 2.74, 6 Ag 2.81-2.86
Os (0.5000, 0.0000, 0.7694)  2 Zn 2.60, 2 Os 2.74, 6 Ag 2.81-2.86

Computed, not measured: an optimized crystal structure of Rb2BaAgBi at the PBE level of DFT.

Results
* energy of formation: 0.136 eV/atom
* V: 288.7 Å³/f.u.
* density of states at the Fermi level: 4.42 states/eV/f.u.
* SG: P4/mmm (123)
* final energy: -1.9825 eV per atom

abc: 7.2372 7.2372 5.5127
angles: 90.00 90.00 90.00
Last column: nearest neighbours and their distance in Å.
Fractional coordinates of all 5 atoms:
Rb (0.0000, 0.5000, 0.0000)  2 Bi 3.62
Rb (0.5000, 0.0000, 0.0000)  2 Bi 3.62
Ba (0.0000, 0.0000, 0.5000)  8 Rb 4.55
Ag (0.5000, 0.5000, 0.5000)  2 Bi 2.76
Bi (0.5000, 0.5000, 0.0000)  2 Ag 2.76